(1)
Entry from the Alexandria database: a relaxed structure of LiDy2Er3Se6 (PBE).

a = 9.0349 Å, b = 9.0349 Å, c = 8.0753 Å
α = 102.92°, β = 102.92°, γ = 25.80°
Closest atoms and distances in Å follow each position.
Positions (direct):
Li1 0.0000 0.0000 0.0000  6 Se 2.81-2.82
Dy1 0.3309 0.3309 0.6597  6 Se 2.84-2.91
Dy2 0.6691 0.6691 0.3403  6 Se 2.84-2.91
Er1 0.0000 0.0000 0.5000  6 Se 2.81-2.89
Er2 0.3332 0.3332 0.1708  6 Se 2.81-2.91
Er3 0.6668 0.6668 0.8292  6 Se 2.81-2.91
Se1 0.1637 0.1637 0.0789  1 Li 2.81, 3 Er 2.86-2.91, 2 Dy 2.91
Se2 0.1641 0.1641 0.5860  3 Er 2.81, 3 Dy 2.84-2.86
Se3 0.5000 0.5000 0.2437  2 Li 2.82, 3 Er 2.86-2.89, 1 Dy 2.90
Se4 0.5000 0.5000 0.7563  2 Li 2.82, 3 Er 2.86-2.89, 1 Dy 2.90
Se5 0.8359 0.8359 0.4140  3 Er 2.81, 3 Dy 2.84-2.86
Se6 0.8363 0.8363 0.9211  1 Li 2.81, 3 Er 2.86-2.91, 2 Dy 2.91

Values from the calculation:
* electronic total energy: -5.54 eV/atom
* total moment: 0.00 μB/f.u.
* formation energy from raw total energies: -1730 meV/atom
* space group: C2/m, No. 12
* density of states at the Fermi level: 3.4 states/eV per cell
* volume: 23.27 Å³ per atom



(2)
Entry from the Alexandria database: a relaxed structure of Rb2MoSCl6 (PBE).

a = 7.3865 Å, b = 7.3865 Å, c = 7.3865 Å
α = 112.27°, β = 112.27°, γ = 104.01°
Closest atoms and distances in Å follow each position.
Positions (direct):
Rb1 0.2500 0.7500 0.5000  12 Cl 3.72-4.12
Rb2 0.7500 0.2500 0.5000  12 Cl 3.72-4.12
Mo1 0.0000 0.0000 0.0000  6 Cl 2.34-2.44
S1 0.5000 0.5000 0.0000  2 Cl 2.21
Cl1 0.2097 0.2097 0.4194  1 Mo 2.44
Cl2 0.2097 0.7903 0.0000  1 Mo 2.44
Cl3 0.2573 0.2573 0.0000  1 S 2.21, 1 Mo 2.34
Cl4 0.7427 0.7427 0.0000  1 S 2.21, 1 Mo 2.34
Cl5 0.7903 0.2097 0.0000  1 Mo 2.44
Cl6 0.7903 0.7903 0.5806  1 Mo 2.44

Values from the calculation:
* electronic total energy: -3.76 eV/atom
* total moment: 2.00 μB/f.u.
* formation energy from raw total energies: -962 meV/atom
* space group: I4/mmm, No. 139
* density of states at the Fermi level: 5.5 states/eV per cell
* volume: 30.82 Å³ per atom



(3)
Entry from the Alexandria database: a relaxed structure of Pt2PbCl (PBE).

a = 3.8992 Å, b = 3.8992 Å, c = 5.6614 Å
α = 90.00°, β = 90.00°, γ = 90.00°
Closest atoms and distances in Å follow each position.
Positions (direct):
Pt1 0.0000 0.5000 0.0000  4 Pt 2.76
Pt2 0.5000 0.0000 0.0000  4 Pt 2.76
Pb1 0.0000 0.0000 0.5000  4 Cl 2.76
Cl1 0.5000 0.5000 0.5000  4 Pb 2.76

Values from the calculation:
* electronic total energy: -4.19 eV/atom
* total moment: 0.00 μB/f.u.
* polymorph energy (0 for the lowest one): 1.23 eV/f.u.
* formation energy from raw total energies: 219 meV/atom
* space group: P4/mmm, No. 123
* density of states at the Fermi level: 5.2 states/eV per cell
* volume: 21.52 Å³ per atom



(4)
Entry from the Alexandria database: a relaxed structure of SrGa4Au8 (PBE).

a = 7.2029 Å, b = 7.2029 Å, c = 7.2029 Å
α = 98.68°, β = 98.68°, γ = 134.29°
Closest atoms and distances in Å follow each position.
Positions (direct):
Sr1 0.0000 0.0000 0.0000  12 Au 3.18-3.47
Ga1 0.0000 0.0000 0.5000  8 Au 2.75-2.86, 2 Ga 2.80
Ga2 0.0000 0.5000 0.0000  8 Au 2.75-2.86, 2 Ga 2.80
Ga3 0.5000 0.0000 0.0000  8 Au 2.75-2.86, 2 Ga 2.80
Ga4 0.5000 0.5000 0.5000  8 Au 2.75-2.86, 2 Ga 2.80
Au1 0.0000 0.3385 0.3385  4 Ga 2.86, 5 Au 3.01-3.04, 1 Sr 3.18
Au2 0.0000 0.6615 0.6615  4 Ga 2.86, 5 Au 3.01-3.04, 1 Sr 3.18
Au3 0.2810 0.5000 0.7810  4 Ga 2.75, 6 Au 2.91-3.04
Au4 0.3385 0.0000 0.3385  4 Ga 2.86, 5 Au 3.01-3.04, 1 Sr 3.18
Au5 0.5000 0.2810 0.7810  4 Ga 2.75, 6 Au 2.91-3.04
Au6 0.5000 0.7190 0.2190  4 Ga 2.75, 6 Au 2.91-3.04
Au7 0.6615 0.0000 0.6615  4 Ga 2.86, 5 Au 3.01-3.04, 1 Sr 3.18
Au8 0.7190 0.5000 0.2190  4 Ga 2.75, 6 Au 2.91-3.04

Values from the calculation:
* ΔH_f (0 K): -3.60 eV/f.u.
* electronic total energy: -3.35 eV/atom
* total moment: 0.00 μB/f.u.
* space group: I4/mmm, No. 139
* density of states at the Fermi level: 4.3 states/eV per cell
* volume: 18.96 Å³ per atom



(5)
Entry from the Alexandria database: a relaxed structure of Be2SbRh (PBE).

a = 3.0323 Å, b = 3.2151 Å, c = 5.6489 Å
α = 90.00°, β = 90.00°, γ = 90.00°
Closest atoms and distances in Å follow each position.
Positions (direct):
Be1 0.0000 0.0000 0.1885  1 Be 2.13
Be2 0.0000 0.0000 0.8115  1 Be 2.13
Sb1 0.5000 0.5000 0.5000  2 Rh 2.82, 8 Be 2.82, 2 Sb 3.03
Rh1 0.5000 0.5000 0.0000  8 Be 2.45

Values from the calculation:
* electronic total energy: -4.81 eV/atom
* total moment: 0.00 μB/f.u.
* formation energy from raw total energies: -74 meV/atom
* space group: Pmmm, No. 47
* density of states at the Fermi level: 0.6 states/eV per cell
* volume: 13.77 Å³ per atom



(6)
Entry from the Alexandria database: a relaxed structure of Bi5SbPb8 (PBE).

a = 8.4500 Å, b = 8.4500 Å, c = 8.4500 Å
α = 109.48°, β = 109.48°, γ = 109.45°
Closest atoms and distances in Å follow each position.
Positions (direct):
Bi1 0.0000 0.0000 0.0000  8 Pb 3.34-3.46
Bi2 0.2481 0.6226 0.1267  8 Pb 3.33-3.45
Bi3 0.3774 0.5041 0.6255  8 Pb 3.33-3.45
Bi4 0.4959 0.1214 0.8733  8 Pb 3.33-3.45
Bi5 0.8786 0.7519 0.3745  8 Pb 3.33-3.45
Sb1 0.7500 0.2500 0.5000  8 Pb 3.29-3.36
Pb1 0.1180 0.7082 0.7480  5 Bi 3.34-3.42, 1 Sb 3.36, 3 Pb 3.62-3.70
Pb2 0.1225 0.2197 0.7458  1 Sb 3.29, 5 Bi 3.33-3.46, 1 Pb 3.62
Pb3 0.2918 0.0398 0.4098  5 Bi 3.34-3.42, 1 Sb 3.36, 3 Pb 3.62-3.70
Pb4 0.4739 0.3766 0.2542  1 Sb 3.29, 5 Bi 3.33-3.46, 1 Pb 3.62
Pb5 0.6234 0.8775 0.0973  1 Sb 3.29, 5 Bi 3.33-3.46, 1 Pb 3.62
Pb6 0.6300 0.8820 0.5903  5 Bi 3.34-3.42, 1 Sb 3.36, 3 Pb 3.62-3.70
Pb7 0.7803 0.5261 0.9027  1 Sb 3.29, 5 Bi 3.33-3.46, 1 Pb 3.62
Pb8 0.9602 0.3700 0.2520  5 Bi 3.34-3.42, 1 Sb 3.36, 3 Pb 3.62-3.70

Values from the calculation:
* electronic total energy: -3.77 eV/atom
* total moment: 0.00 μB/f.u.
* formation energy from raw total energies: 34 meV/atom
* space group: I-4, No. 82
* density of states at the Fermi level: 14.3 states/eV per cell
* volume: 33.18 Å³ per atom



(7)
Entry from the Alexandria database: a relaxed structure of BeO (PBE).

a = 6.8384 Å, b = 6.8384 Å, c = 2.7818 Å
α = 90.00°, β = 90.00°, γ = 90.00°
Closest atoms and distances in Å follow each position.
Positions (direct):
Be1 0.1289 0.7044 0.0000  4 O 1.59-1.68
Be2 0.2044 0.3711 0.5000  4 O 1.59-1.68
Be3 0.2956 0.1289 0.0000  4 O 1.59-1.68
Be4 0.3711 0.7956 0.5000  4 O 1.59-1.68
Be5 0.6289 0.2044 0.5000  4 O 1.59-1.68
Be6 0.7044 0.8711 0.0000  4 O 1.59-1.68
Be7 0.7956 0.6289 0.5000  4 O 1.59-1.68
Be8 0.8711 0.2956 0.0000  4 O 1.59-1.68
O1 0.1036 0.2819 0.0000  4 Be 1.59-1.68
O2 0.2181 0.6036 0.5000  4 Be 1.59-1.68
O3 0.2819 0.8964 0.0000  4 Be 1.59-1.68
O4 0.3964 0.2181 0.5000  4 Be 1.59-1.68
O5 0.6036 0.7819 0.5000  4 Be 1.59-1.68
O6 0.7181 0.1036 0.0000  4 Be 1.59-1.68
O7 0.7819 0.3964 0.5000  4 Be 1.59-1.68
O8 0.8964 0.7181 0.0000  4 Be 1.59-1.68

Values from the calculation:
* electronic total energy: -7.02 eV/atom
* total moment: 0.00 μB/f.u.
* polymorph energy (0 for the lowest one): 0.17 eV/f.u.
* formation energy from raw total energies: -2676 meV/atom
* space group: I4/m, No. 87
* density of states at the Fermi level: 0.0 states/eV per cell
* volume: 8.13 Å³ per atom



(8)
Entry from the Alexandria database: a relaxed structure of ScInRuO6 (PBE).

a = 5.2983 Å, b = 5.2983 Å, c = 9.0258 Å
α = 90.00°, β = 90.00°, γ = 120.00°
Closest atoms and distances in Å follow each position.
Positions (direct):
Sc1 0.0000 0.0000 0.0000  6 O 2.15
Sc2 0.0000 0.0000 0.5000  6 O 2.15
In1 0.3333 0.6667 0.2500  6 O 2.18
In2 0.6667 0.3333 0.7500  6 O 2.18
Ru1 0.3333 0.6667 0.7500  6 O 1.95
Ru2 0.6667 0.3333 0.2500  6 O 1.95
O1 0.0342 0.3582 0.6285  1 Ru 1.95, 1 Sc 2.15, 1 In 2.18
O2 0.0342 0.6760 0.8715  1 Ru 1.95, 1 Sc 2.15, 1 In 2.18
O3 0.3240 0.3582 0.8715  1 Ru 1.95, 1 Sc 2.15, 1 In 2.18
O4 0.3240 0.9658 0.6285  1 Ru 1.95, 1 Sc 2.15, 1 In 2.18
O5 0.3582 0.0342 0.1285  1 Ru 1.95, 1 Sc 2.15, 1 In 2.18
O6 0.3582 0.3240 0.3715  1 Ru 1.95, 1 Sc 2.15, 1 In 2.18
O7 0.6418 0.6760 0.6285  1 Ru 1.95, 1 Sc 2.15, 1 In 2.18
O8 0.6418 0.9658 0.8715  1 Ru 1.95, 1 Sc 2.15, 1 In 2.18
O9 0.6760 0.0342 0.3715  1 Ru 1.95, 1 Sc 2.15, 1 In 2.18
O10 0.6760 0.6418 0.1285  1 Ru 1.95, 1 Sc 2.15, 1 In 2.18
O11 0.9658 0.3240 0.1285  1 Ru 1.95, 1 Sc 2.15, 1 In 2.18
O12 0.9658 0.6418 0.3715  1 Ru 1.95, 1 Sc 2.15, 1 In 2.18

Values from the calculation:
* electronic total energy: -6.97 eV/atom
* total moment: 1.94 μB/f.u.
* formation energy from raw total energies: -1631 meV/atom
* space group: P-31c, No. 163
* density of states at the Fermi level: 7.7 states/eV per cell
* volume: 12.19 Å³ per atom



(9)
Entry from the Alexandria database: a relaxed structure of PmCdNi (PBE).

a = 5.2084 Å, b = 8.4140 Å, c = 5.8831 Å
α = 90.00°, β = 90.00°, γ = 90.00°
Closest atoms and distances in Å follow each position.
Positions (direct):
Pm1 0.0000 0.1569 0.2500  5 Ni 2.89-2.96, 2 Cd 3.24
Pm2 0.0000 0.8431 0.7500  5 Ni 2.89-2.96, 2 Cd 3.24
Pm3 0.5000 0.3431 0.7500  5 Ni 2.89-2.96, 2 Cd 3.24
Pm4 0.5000 0.6569 0.2500  5 Ni 2.89-2.96, 2 Cd 3.24
Cd1 0.0000 0.5000 0.0000  2 Cd 2.94, 2 Ni 2.97, 6 Pm 3.24-3.27
Cd2 0.0000 0.5000 0.5000  2 Cd 2.94, 2 Ni 2.97, 6 Pm 3.24-3.27
Cd3 0.5000 0.0000 0.0000  2 Cd 2.94, 2 Ni 2.97, 6 Pm 3.24-3.27
Cd4 0.5000 0.0000 0.5000  2 Cd 2.94, 2 Ni 2.97, 6 Pm 3.24-3.27
Ni1 0.0000 0.1934 0.7500  5 Pm 2.89-2.96, 2 Cd 2.97
Ni2 0.0000 0.8066 0.2500  5 Pm 2.89-2.96, 2 Cd 2.97
Ni3 0.5000 0.3066 0.2500  5 Pm 2.89-2.96, 2 Cd 2.97
Ni4 0.5000 0.6934 0.7500  5 Pm 2.89-2.96, 2 Cd 2.97

Values from the calculation:
* ΔH_f (0 K): -0.74 eV/f.u.
* electronic total energy: -4.06 eV/atom
* total moment: 0.00 μB/f.u.
* polymorph energy (0 for the lowest one): 0.29 eV/f.u.
* space group: Cmcm, No. 63
* density of states at the Fermi level: 9.3 states/eV per cell
* volume: 21.48 Å³ per atom



(10)
Entry from the Alexandria database: a relaxed structure of MnTl2C (PBE).

a = 6.5409 Å, b = 6.5409 Å, c = 6.5409 Å
α = 90.00°, β = 90.00°, γ = 90.00°
Closest atoms and distances in Å follow each position.
Positions (direct):
Mn1 0.0000 0.0000 0.0000  8 Tl 2.83
Mn2 0.0000 0.5000 0.5000  8 Tl 2.83
Mn3 0.5000 0.0000 0.5000  8 Tl 2.83
Mn4 0.5000 0.5000 0.0000  8 Tl 2.83
Tl1 0.2500 0.2500 0.2500  4 Mn 2.83, 4 C 2.83
Tl2 0.2500 0.2500 0.7500  4 Mn 2.83, 4 C 2.83
Tl3 0.2500 0.7500 0.2500  4 Mn 2.83, 4 C 2.83
Tl4 0.2500 0.7500 0.7500  4 Mn 2.83, 4 C 2.83
Tl5 0.7500 0.2500 0.2500  4 Mn 2.83, 4 C 2.83
Tl6 0.7500 0.2500 0.7500  4 Mn 2.83, 4 C 2.83
Tl7 0.7500 0.7500 0.2500  4 Mn 2.83, 4 C 2.83
Tl8 0.7500 0.7500 0.7500  4 Mn 2.83, 4 C 2.83
C1 0.0000 0.0000 0.5000  8 Tl 2.83
C2 0.0000 0.5000 0.0000  8 Tl 2.83
C3 0.5000 0.0000 0.0000  8 Tl 2.83
C4 0.5000 0.5000 0.5000  8 Tl 2.83

Values from the calculation:
* ΔH_f (0 K): 7.91 eV/f.u.
* electronic total energy: -3.80 eV/atom
* total moment: 0.00 μB/f.u.
* polymorph energy (0 for the lowest one): 4.61 eV/f.u.
* space group: Fm-3m, No. 225
* density of states at the Fermi level: 23.3 states/eV per cell
* volume: 17.49 Å³ per atom



(11)
Entry from the Alexandria database: a relaxed structure of FePb2I6 (PBE).

a = 8.2329 Å, b = 8.2329 Å, c = 13.1279 Å
α = 117.90°, β = 117.90°, γ = 31.39°
Closest atoms and distances in Å follow each position.
Positions (direct):
Fe1 0.0000 0.0000 0.0000  4 I 2.65-2.80
Pb1 0.3157 0.3157 0.6897  7 I 3.23-3.52
Pb2 0.6843 0.6843 0.3103  7 I 3.23-3.52
I1 0.0062 0.0062 0.2165  1 Fe 2.80
I2 0.1911 0.1911 0.1065  1 Fe 2.65
I3 0.3486 0.3486 0.4654  3 Pb 3.23-3.28
I4 0.6514 0.6514 0.5346  3 Pb 3.23-3.28
I5 0.8089 0.8089 0.8935  1 Fe 2.65
I6 0.9938 0.9938 0.7835  1 Fe 2.80

Values from the calculation:
* electronic total energy: -3.18 eV/atom
* total moment: 4.00 μB/f.u.
* formation energy from raw total energies: -379 meV/atom
* space group: C2/m, No. 12
* density of states at the Fermi level: 2.3 states/eV per cell
* volume: 45.00 Å³ per atom



(12)
Entry from the Alexandria database: a relaxed structure of La7Si2N2 (PBE).

a = 7.9250 Å, b = 7.9250 Å, c = 6.0331 Å
α = 101.50°, β = 101.50°, γ = 99.95°
Closest atoms and distances in Å follow each position.
Positions (direct):
La1 0.0000 0.0000 0.0000  2 N 2.38
La2 0.1104 0.4177 0.7242  1 N 2.30
La3 0.3883 0.3883 0.2665  1 N 2.42
La4 0.4177 0.1104 0.7242  1 N 2.30
La5 0.5823 0.8896 0.2758  1 N 2.30
La6 0.6117 0.6117 0.7335  1 N 2.42
La7 0.8896 0.5823 0.2758  1 N 2.30
Si1 0.2794 0.7206 0.5000  6 La 3.02-3.21
Si2 0.7206 0.2794 0.5000  6 La 3.02-3.21
N1 0.2067 0.2067 0.8964  4 La 2.30-2.42
N2 0.7933 0.7933 0.1036  4 La 2.30-2.42

Values from the calculation:
* electronic total energy: -6.18 eV/atom
* total moment: 0.00 μB/f.u.
* formation energy from raw total energies: -544 meV/atom
* space group: C2/m, No. 12
* density of states at the Fermi level: 11.8 states/eV per cell
* volume: 32.26 Å³ per atom